DFT (PBE) results for a relaxed Pm2Ni4Ge3Pt crystal.

Cell: 4.118 4.118 9.949 Å, 90.00 90.00 90.00°
Sites, in units of the cell vectors:
1 Pt 0.500 0.500 0.500
2 Ge 0.500 0.000 0.878
3 Ge 0.000 0.500 0.122
4 Ni 0.000 0.500 0.358
5 Ge 0.000 0.000 0.500
6 Ni 0.500 0.500 0.000
7 Pm 0.000 0.500 0.749
8 Pm 0.500 0.000 0.251
9 Ni 0.000 0.000 0.000
10 Ni 0.500 0.000 0.642

Output
magnetic moment	0.0	μB per cell
energy relative to the elements	-0.66	eV per atom
uncorrected energy	-59.1	eV/f.u.
symmetry	No. 115